{"formula": "Cr2IrRu2", "functional": "PBE-GGA", "state": "optimized geometry", "polymorph_energy_ev_per_fu": 0.00, "volume_a3_per_atom": 13.427, "formation_energy_ev_per_atom": 0.150, "space_group": "P4/mbm (127)", "lattice": [[6.995, 0.000, 0.000], [0.000, 6.995, 0.000], [0.000, 0.000, 2.744]], "species": ["Cr", "Cr", "Cr", "Cr", "Ir", "Ir", "Ru", "Ru", "Ru", "Ru"], "frac_coords": [[0.118, 0.382, 0.000], [0.382, 0.882, 0.000], [0.618, 0.118, 0.000], [0.882, 0.618, 0.000], [0.000, 0.000, 0.000], [0.500, 0.500, 0.000], [0.178, 0.678, 0.500], [0.322, 0.178, 0.500], [0.678, 0.822, 0.500], [0.822, 0.322, 0.500]]}